i:
Material: YTlRe3
Method: DFT, PBE
State: optimized geometry

Summary:
Total moment in μB per formula unit: 2.48
Density in Mg/m³: 11.596

Cell and atoms, written as CIF:
```
data_YTlRe3
_chemical_formula_sum 'Y1 Tl1 Re3'
_symmetry_space_group_name_H-M 'P m -3 m'
_symmetry_Int_Tables_number 221
_symmetry_space_group_name_Hall '-P 4 2 3'
_cell_length_a 4.960
_cell_length_b 4.960
_cell_length_c 4.960
_cell_angle_alpha 90.00
_cell_angle_beta 90.00
_cell_angle_gamma 90.00
loop_
_atom_site_label
_atom_site_type_symbol
_atom_site_fract_x
_atom_site_fract_y
_atom_site_fract_z
Y1 Y 0.000 0.000 0.000
Tl1 Tl 0.500 0.500 0.500
Re1 Re 0.000 0.500 0.500
```


ii:
Material: YTlRe3
Method: DFT, PBE
State: optimized geometry

Summary:
Total moment in μB per formula unit: 3.25
Density in Mg/m³: 11.814

Cell and atoms, written as CIF:
```
data_YTlRe3
_chemical_formula_sum 'Y1 Tl1 Re3'
_symmetry_space_group_name_H-M 'P m -3 m'
_symmetry_Int_Tables_number 221
_symmetry_space_group_name_Hall '-P 4 2 3'
_cell_length_a 4.929
_cell_length_b 4.929
_cell_length_c 4.929
_cell_angle_alpha 90.00
_cell_angle_beta 90.00
_cell_angle_gamma 90.00
loop_
_atom_site_label
_atom_site_type_symbol
_atom_site_fract_x
_atom_site_fract_y
_atom_site_fract_z
Y1 Y 0.000 0.000 0.000
Tl1 Tl 0.500 0.500 0.500
Re1 Re 0.000 0.000 0.500
```


The structure with the least stability is ii.


i:
Material: Tl2ZnRe
Method: DFT, PBE
State: optimized geometry

Summary:
Total moment in μB per formula unit: 0.00
Density in Mg/m³: 12.354

Cell and atoms, written as CIF:
```
data_Tl2ZnRe
_chemical_formula_sum 'Tl4 Zn2 Re2'
_symmetry_space_group_name_H-M 'C m m m'
_symmetry_Int_Tables_number 65
_symmetry_space_group_name_Hall '-C 2 2'
_cell_length_a 3.235
_cell_length_b 4.861
_cell_length_c 11.290
_cell_angle_alpha 90.00
_cell_angle_beta 90.00
_cell_angle_gamma 90.00
loop_
_atom_site_label
_atom_site_type_symbol
_atom_site_fract_x
_atom_site_fract_y
_atom_site_fract_z
Tl1 Tl 0.000 0.000 0.228
Zn1 Zn 0.000 0.500 0.500
Re1 Re 0.000 0.500 0.000
```


ii:
Material: Tl2ZnRe
Method: DFT, PBE
State: optimized geometry

Summary:
Total moment in μB per formula unit: 0.07
Density in Mg/m³: 13.059

Cell and atoms, written as CIF:
```
data_Tl2ZnRe
_chemical_formula_sum 'Tl6 Zn3 Re3'
_symmetry_space_group_name_H-M 'R 3 m'
_symmetry_Int_Tables_number 160
_symmetry_space_group_name_Hall 'R 3 -2"'
_cell_length_a 3.0563
_cell_length_b 3.0563
_cell_length_c 31.1409
_cell_angle_alpha 90.00
_cell_angle_beta 90.00
_cell_angle_gamma 120.00
loop_
_atom_site_label
_atom_site_type_symbol
_atom_site_fract_x
_atom_site_fract_y
_atom_site_fract_z
Tl1 Tl 0.0000 0.0000 0.0000
Tl2 Tl 0.0000 0.0000 0.2303
Zn1 Zn 0.0000 0.0000 0.7519
Re1 Re 0.0000 0.0000 0.4831
```


The structure with the least stability is i.


i:
Material: Tl2ZnRe
Method: DFT, PBE
State: optimized geometry

Summary:
Total moment in μB per formula unit: 1.19
Density in Mg/m³: 13.817

Cell and atoms, written as CIF:
```
data_Tl2ZnRe
_chemical_formula_sum 'Tl4 Zn2 Re2'
_symmetry_space_group_name_H-M 'C m m m'
_symmetry_Int_Tables_number 65
_symmetry_space_group_name_Hall '-C 2 2'
_cell_length_a 6.216
_cell_length_b 8.056
_cell_length_c 3.170
_cell_angle_alpha 90.00
_cell_angle_beta 90.00
_cell_angle_gamma 90.00
loop_
_atom_site_label
_atom_site_type_symbol
_atom_site_fract_x
_atom_site_fract_y
_atom_site_fract_z
Tl1 Tl 0.250 0.250 0.000
Zn1 Zn 0.000 0.000 0.500
Re1 Re 0.000 0.500 0.500
```


ii:
Material: Tl2ZnRe
Method: DFT, PBE
State: optimized geometry

Summary:
Total moment in μB per formula unit: 0.68
Density in Mg/m³: 12.706

Cell and atoms, written as CIF:
```
data_Tl2ZnRe
_chemical_formula_sum 'Tl2 Zn1 Re1'
_symmetry_space_group_name_H-M 'P 4 m m'
_symmetry_Int_Tables_number 99
_symmetry_space_group_name_Hall 'P 4 -2'
_cell_length_a 3.014
_cell_length_b 3.014
_cell_length_c 9.499
_cell_angle_alpha 90.00
_cell_angle_beta 90.00
_cell_angle_gamma 90.00
loop_
_atom_site_label
_atom_site_type_symbol
_atom_site_fract_x
_atom_site_fract_y
_atom_site_fract_z
Tl1 Tl 0.000 0.000 0.000
Tl2 Tl 0.500 0.500 0.327
Zn1 Zn 0.000 0.000 0.592
Re1 Re 0.500 0.500 0.759
```


iii:
Material: Tl2ZnRe
Method: DFT, PBE
State: optimized geometry

Summary:
Total moment in μB per formula unit: 1.03
Density in Mg/m³: 12.541

Cell and atoms, written as CIF:
```
data_Tl2ZnRe
_chemical_formula_sum 'Tl8 Zn4 Re4'
_symmetry_space_group_name_H-M 'I -4 2 d'
_symmetry_Int_Tables_number 122
_symmetry_space_group_name_Hall 'I -4 2bw'
_cell_length_a 4.215
_cell_length_b 4.215
_cell_length_c 19.685
_cell_angle_alpha 90.00
_cell_angle_beta 90.00
_cell_angle_gamma 90.00
loop_
_atom_site_label
_atom_site_type_symbol
_atom_site_fract_x
_atom_site_fract_y
_atom_site_fract_z
Tl1 Tl 0.240 0.250 0.125
Zn1 Zn 0.000 0.000 0.500
Re1 Re 0.000 0.000 0.000
```


iv:
Material: Tl2ZnRe
Method: DFT, PBE
State: optimized geometry

Summary:
Total moment in μB per formula unit: 0.00
Density in Mg/m³: 14.163

Cell and atoms, written as CIF:
```
data_Tl2ZnRe
_chemical_formula_sum 'Tl4 Zn2 Re2'
_symmetry_space_group_name_H-M 'I m m m'
_symmetry_Int_Tables_number 71
_symmetry_space_group_name_Hall '-I 2 2'
_cell_length_a 3.941
_cell_length_b 4.442
_cell_length_c 8.847
_cell_angle_alpha 90.00
_cell_angle_beta 90.00
_cell_angle_gamma 90.00
loop_
_atom_site_label
_atom_site_type_symbol
_atom_site_fract_x
_atom_site_fract_y
_atom_site_fract_z
Tl1 Tl 0.000 0.000 0.244
Zn1 Zn 0.000 0.500 0.500
Re1 Re 0.000 0.500 0.000
```


The structure with the least stability is iii.


i:
Material: Tl2ZnRe
Method: DFT, PBE
State: optimized geometry

Summary:
Total moment in μB per formula unit: 0.00
Density in Mg/m³: 13.645

Cell and atoms, written as CIF:
```
data_Tl2ZnRe
_chemical_formula_sum 'Tl6 Zn3 Re3'
_symmetry_space_group_name_H-M 'R -3 m'
_symmetry_Int_Tables_number 166
_symmetry_space_group_name_Hall '-R 3 2"'
_cell_length_a 3.1928
_cell_length_b 3.1928
_cell_length_c 27.3106
_cell_angle_alpha 90.00
_cell_angle_beta 90.00
_cell_angle_gamma 120.00
loop_
_atom_site_label
_atom_site_type_symbol
_atom_site_fract_x
_atom_site_fract_y
_atom_site_fract_z
Tl1 Tl 0.0000 0.0000 0.2490
Zn1 Zn 0.0000 0.0000 0.0000
Re1 Re 0.0000 0.0000 0.5000
```


ii:
Material: Tl2ZnRe
Method: DFT, PBE
State: optimized geometry

Summary:
Total moment in μB per formula unit: 0.00
Density in Mg/m³: 11.963

Cell and atoms, written as CIF:
```
data_Tl2ZnRe
_chemical_formula_sum 'Tl4 Zn2 Re2'
_symmetry_space_group_name_H-M 'I m m 2'
_symmetry_Int_Tables_number 44
_symmetry_space_group_name_Hall 'I 2 -2'
_cell_length_a 2.890
_cell_length_b 4.833
_cell_length_c 13.124
_cell_angle_alpha 90.00
_cell_angle_beta 90.00
_cell_angle_gamma 90.00
loop_
_atom_site_label
_atom_site_type_symbol
_atom_site_fract_x
_atom_site_fract_y
_atom_site_fract_z
Tl1 Tl 0.000 0.000 0.000
Tl2 Tl 0.000 0.500 0.204
Zn1 Zn 0.000 0.500 0.829
Re1 Re 0.000 0.000 0.498
```


iii:
Material: Tl2ZnRe
Method: DFT, PBE
State: optimized geometry

Summary:
Total moment in μB per formula unit: 0.00
Density in Mg/m³: 13.148

Cell and atoms, written as CIF:
```
data_Tl2ZnRe
_chemical_formula_sum 'Tl2 Zn1 Re1'
_symmetry_space_group_name_H-M 'P 4/m m m'
_symmetry_Int_Tables_number 123
_symmetry_space_group_name_Hall '-P 4 2'
_cell_length_a 2.998
_cell_length_b 2.998
_cell_length_c 9.277
_cell_angle_alpha 90.00
_cell_angle_beta 90.00
_cell_angle_gamma 90.00
loop_
_atom_site_label
_atom_site_type_symbol
_atom_site_fract_x
_atom_site_fract_y
_atom_site_fract_z
Tl1 Tl 0.000 0.000 0.238
Zn1 Zn 0.500 0.500 0.500
Re1 Re 0.500 0.500 0.000
```


iv:
Material: Tl2ZnRe
Method: DFT, PBE
State: optimized geometry

Summary:
Total moment in μB per formula unit: 0.00
Density in Mg/m³: 13.350

Cell and atoms, written as CIF:
```
data_Tl2ZnRe
_chemical_formula_sum 'Tl2 Zn1 Re1'
_symmetry_space_group_name_H-M 'P 1 m 1'
_symmetry_Int_Tables_number 6
_symmetry_space_group_name_Hall 'P -2y'
_cell_length_a 3.678
_cell_length_b 4.238
_cell_length_c 5.577
_cell_angle_alpha 90.00
_cell_angle_beta 109.10
_cell_angle_gamma 90.00
loop_
_atom_site_label
_atom_site_type_symbol
_atom_site_fract_x
_atom_site_fract_y
_atom_site_fract_z
Tl1 Tl 0.000 0.000 0.000
Tl2 Tl 0.298 0.500 0.599
Zn1 Zn 0.585 0.500 0.171
Re1 Re 0.726 0.000 0.453
```


The structure with the least stability is iii.


i:
Material: Tl2ZnRe
Method: DFT, PBE
State: optimized geometry

Summary:
Total moment in μB per formula unit: 0.81
Density in Mg/m³: 14.139

Cell and atoms, written as CIF:
```
data_Tl2ZnRe
_chemical_formula_sum 'Tl4 Zn2 Re2'
_symmetry_space_group_name_H-M 'I -4 m 2'
_symmetry_Int_Tables_number 119
_symmetry_space_group_name_Hall 'I -4 -2'
_cell_length_a 4.094
_cell_length_b 4.094
_cell_length_c 9.254
_cell_angle_alpha 90.00
_cell_angle_beta 90.00
_cell_angle_gamma 90.00
loop_
_atom_site_label
_atom_site_type_symbol
_atom_site_fract_x
_atom_site_fract_y
_atom_site_fract_z
Tl1 Tl 0.000 0.000 0.000
Tl2 Tl 0.000 0.500 0.250
Zn1 Zn 0.000 0.500 0.750
Re1 Re 0.000 0.000 0.500
```


ii:
Material: Tl2ZnRe
Method: DFT, PBE
State: optimized geometry

Summary:
Total moment in μB per formula unit: 0.00
Density in Mg/m³: 13.561

Cell and atoms, written as CIF:
```
data_Tl2ZnRe
_chemical_formula_sum 'Tl2 Zn1 Re1'
_symmetry_space_group_name_H-M 'P 1 2/m 1'
_symmetry_Int_Tables_number 10
_symmetry_space_group_name_Hall '-P 2y'
_cell_length_a 2.934
_cell_length_b 5.121
_cell_length_c 5.386
_cell_angle_alpha 90.00
_cell_angle_beta 92.28
_cell_angle_gamma 90.00
loop_
_atom_site_label
_atom_site_type_symbol
_atom_site_fract_x
_atom_site_fract_y
_atom_site_fract_z
Tl1 Tl 0.249 0.000 0.251
Zn1 Zn 0.000 0.500 0.000
Re1 Re 0.500 0.500 0.500
```


iii:
Material: Tl2ZnRe
Method: DFT, PBE
State: optimized geometry

Summary:
Total moment in μB per formula unit: 0.00
Density in Mg/m³: 13.683

Cell and atoms, written as CIF:
```
data_Tl2ZnRe
_chemical_formula_sum 'Tl8 Zn4 Re4'
_symmetry_space_group_name_H-M 'F m -3 m'
_symmetry_Int_Tables_number 225
_symmetry_space_group_name_Hall '-F 4 2 3'
_cell_length_a 6.844
_cell_length_b 6.844
_cell_length_c 6.844
_cell_angle_alpha 90.00
_cell_angle_beta 90.00
_cell_angle_gamma 90.00
loop_
_atom_site_label
_atom_site_type_symbol
_atom_site_fract_x
_atom_site_fract_y
_atom_site_fract_z
Tl1 Tl 0.250 0.250 0.250
Zn1 Zn 0.000 0.000 0.000
Re1 Re 0.000 0.000 0.500
```


The structure with the least stability is iii.